[1]
Density functional theory data (PBE) for a geometry-optimized La2Pr3Ag2 structure.

a = 13.219 Å, b = 3.912 Å, c = 9.679 Å
α = 90.00°, β = 115.63°, γ = 90.00°
Space group C2/m (No. 12)
Inequivalent atoms, fractional coordinates:
La 0.149 0.000 0.315 [4 per cell]
Pr 0.000 0.500 0.500 [2 per cell]
Pr 0.113 0.500 0.947 [4 per cell]
Ag 0.169 0.000 0.728 [4 per cell]

Calculated values
Energy above the lowest structure with this stoichiometry, eV per atom: 0.000

---

[2]
Density functional theory data (PBE) for a geometry-optimized LaPr3Ag structure.

a = 12.754 Å, b = 7.511 Å, c = 9.002 Å
α = 90.00°, β = 127.40°, γ = 90.00°
Space group C2/m (No. 12)
Inequivalent atoms, fractional coordinates:
La 0.093 0.000 0.272 [4 per cell]
Pr 0.029 0.500 0.232 [4 per cell]
Pr 0.170 0.232 0.677 [8 per cell]
Ag 0.210 0.000 0.000 [4 per cell]

Calculated values
Energy above the lowest structure with this stoichiometry, eV per atom: 0.121

---

[3]
Density functional theory data (PBE) for a geometry-optimized La5Pr2Ag structure.

a = 7.224 Å, b = 7.245 Å, c = 7.247 Å
α = 119.75°, β = 118.98°, γ = 90.99°
Space group P1 (No. 1)
Inequivalent atoms, fractional coordinates:
La 0.000 0.000 0.000 [1 per cell]
La 0.023 0.553 0.461 [1 per cell]
La 0.468 0.999 0.479 [1 per cell]
La 0.510 0.039 0.999 [1 per cell]
La 0.536 0.556 0.000 [1 per cell]
Pr 0.003 0.108 0.562 [1 per cell]
Pr 0.525 0.506 0.482 [1 per cell]
Ag 0.004 0.540 0.994 [1 per cell]

Calculated values
Energy above the lowest structure with this stoichiometry, eV per atom: 0.036

---

[4]
Density functional theory data (PBE) for a geometry-optimized La2PrAg4 structure.

a = 5.709 Å, b = 5.709 Å, c = 12.222 Å
α = 90.00°, β = 90.00°, γ = 90.00°
Space group I4/mmm (No. 139)
Inequivalent atoms, fractional coordinates:
La 0.000 0.000 0.214 [4 per cell]
Pr 0.000 0.000 0.500 [2 per cell]
Ag 0.000 0.500 0.121 [8 per cell]

---

[5]
Density functional theory data (PBE) for a geometry-optimized La5Pr3Ag2 structure.

a = 13.938 Å, b = 13.944 Å, c = 7.039 Å
α = 90.00°, β = 90.00°, γ = 90.00°
Space group Ibam (No. 72)
Inequivalent atoms, fractional coordinates:
La 0.000 0.000 0.250 [4 per cell]
La 0.000 0.243 0.250 [8 per cell]
La 0.166 0.127 0.000 [8 per cell]
Pr 0.000 0.500 0.250 [4 per cell]
Pr 0.239 0.385 0.000 [8 per cell]
Ag 0.130 0.377 0.500 [8 per cell]

---

[6]
Density functional theory data (PBE) for a geometry-optimized La8PrAg2 structure.

a = 15.691 Å, b = 7.120 Å, c = 6.761 Å
α = 90.00°, β = 99.46°, γ = 90.00°
Space group C2/m (No. 12)
Inequivalent atoms, fractional coordinates:
La 0.086 0.000 0.413 [4 per cell]
La 0.104 0.235 0.912 [8 per cell]
La 0.204 0.500 0.332 [4 per cell]
Pr 0.000 0.500 0.500 [2 per cell]
Ag 0.247 0.500 0.802 [4 per cell]

Calculated values
Energy above the lowest structure with this stoichiometry, eV per atom: 0.069

---

[7]
Density functional theory data (PBE) for a geometry-optimized LaPr5Ag structure.

a = 12.109 Å, b = 6.753 Å, c = 12.554 Å
α = 90.00°, β = 111.06°, γ = 90.00°
Space group C2/c (No. 15)
Inequivalent atoms, fractional coordinates:
La 0.000 0.213 0.250 [4 per cell]
Pr 0.000 0.260 0.750 [4 per cell]
Pr 0.161 0.464 0.039 [8 per cell]
Pr 0.233 0.039 0.675 [8 per cell]
Ag 0.000 0.000 0.000 [4 per cell]

---

[8]
Density functional theory data (PBE) for a geometry-optimized La4Pr3Ag4 structure.

a = 5.289 Å, b = 7.650 Å, c = 16.756 Å
α = 90.00°, β = 90.00°, γ = 90.00°
Space group Immm (No. 71)
Inequivalent atoms, fractional coordinates:
La 0.000 0.225 0.174 [8 per cell]
Pr 0.000 0.000 0.401 [4 per cell]
Pr 0.000 0.500 0.500 [2 per cell]
Ag 0.000 0.315 0.000 [4 per cell]
Ag 0.000 0.500 0.312 [4 per cell]

---

| no. | raw total energy (eV/cell) | DFT formation energy (eV/f.u.) | calculated volume (Å³ per atom) |
| --- | --- | --- | --- |
| 1 | -61.4 | -0.80 | 32.235 |
| 2 | -87.6 | 0.22 | 34.255 |
| 3 | -37.1 | -0.08 | 33.877 |
| 4 | -53.5 | -0.71 | 28.453 |
| 5 | -174.0 | 1.19 | 34.202 |
| 6 | -99.6 | 0.12 | 33.869 |
| 7 | -124.1 | 0.65 | 34.217 |
| 8 | -92.9 | -1.00 | 30.815 |